Crystalline Nb2ZnCrGa at its relaxed geometry. Source: Alexandria via LeMat-Bulk, functional PBE.

The structure in POSCAR format:
```
Nb2ZnCrGa
1.0
4.763 0.000 0.000
0.000 4.343 0.000
0.000 0.000 4.763
Zn Cr Ga Nb
1 1 1 2
Cartesian
2.381 2.171 2.381
0.000 2.171 0.000
0.000 0.000 0.000
0.000 0.000 2.381
2.381 0.000 0.000
```

Computed properties:
The value obtained for the formation energy is 5.90 eV per formula unit. Its total DFT energy (no corrections) is -5.6318 eV per atom.

=====

Crystalline BaTmBi2 at its relaxed geometry. Source: Alexandria via LeMat-Bulk, functional PBE.

The structure in POSCAR format:
```
BaTmBi2
1.0
4.867 0.078 0.000
-0.112 4.867 0.000
-2.378 -2.472 12.773
Ba Bi Tm
2 4 2
Cartesian
0.018 0.019 2.744
2.396 2.491 10.030
0.021 0.022 8.399
4.637 2.556 0.000
2.374 4.733 0.000
2.399 2.495 4.374
2.455 0.062 6.387
-0.034 2.456 6.387
```

Computed properties:
The value obtained for the formation energy is -2.53 eV per formula unit. The energy above the lowest structure with this stoichiometry comes out at 0.103 eV per atom. Its total DFT energy (no corrections) is -4.1718 eV per atom.